Below is crystalline ZrMn2V at its relaxed geometry, with properties calculated at the PBE-GGA level.

Cell and atoms, written as POSCAR:
```
ZrMn2V
1.0
-1.446 4.043 -0.343
-4.106 0.905 0.934
-0.957 2.253 3.544
Mn Zr V
2 1 1
Cartesian
-4.882 5.400 3.102
-1.627 1.800 1.034
-3.255 3.600 2.068
0.000 0.000 0.000
```

Computed properties:
The value obtained for the energy relative to the elements is -0.05 eV/atom. The symmetry is Fm-3m. Its total energy is -36.22 eV for the cell shown. For the energy above the lowest structure with this stoichiometry, the calculation gives 21 meV per atom. For the total magnetization, the calculation gives 0.51 μB/cell.